w | # Tl2CrTe

A crystal of Tl2CrTe relaxed with PBEsol (SCAN, Alexandria).

Summary:
Magnetic moment: 4.59 μB per formula unit

Unit cell a=4.750 b=4.750 c=8.975 alpha=90.00 beta=90.00 gamma=90.00
Space group I-4m2 (No. 119)
Unique sites:
1 Tl 0.000 0.000 0.000
2 Tl 0.000 0.500 0.250
3 Cr 0.000 0.000 0.500
4 Te 0.000 0.500 0.750

***

x | # Tl2CrTe

A crystal of Tl2CrTe relaxed with PBEsol (SCAN, Alexandria).

Summary:
Magnetic moment: 3.93 μB per formula unit

Unit cell a=3.517 b=3.517 c=8.073 alpha=90.00 beta=90.00 gamma=90.00
Space group P4mm (No. 99)
Unique sites:
1 Tl 0.000 0.000 0.000
2 Tl 0.500 0.500 0.284
3 Cr 0.000 0.000 0.534
4 Te 0.500 0.500 0.682

***

y | # Tl2CrTe

A crystal of Tl2CrTe relaxed with PBEsol (SCAN, Alexandria).

Summary:
Magnetic moment: 3.75 μB per formula unit

Unit cell a=3.468 b=4.631 c=12.773 alpha=90.00 beta=90.00 gamma=90.00
Space group Imm2 (No. 44)
Unique sites:
1 Tl 0.000 0.000 0.000
2 Tl 0.000 0.500 0.180
3 Cr 0.000 0.500 0.715
4 Te 0.000 0.000 0.372

***

Referenced to the most stable arrangement, the calculated values in kJ/mol of atoms are w 15.4; x 0.0; y 10.1.

***

w | # YCr2Te

A crystal of YCr2Te relaxed with PBEsol (SCAN, Alexandria).

Summary:
Magnetic moment: 0.12 μB per formula unit

Unit cell a=6.920 b=6.920 c=6.920 alpha=90.00 beta=90.00 gamma=90.00
Space group F-43m (No. 216)
Unique sites:
1 Y 0.000 0.000 0.000
2 Cr 0.000 0.000 0.500
3 Cr 0.250 0.250 0.750
4 Te 0.250 0.250 0.250

***

x | # YCr2Te

A crystal of YCr2Te relaxed with PBEsol (SCAN, Alexandria).

Summary:
Magnetic moment: 6.07 μB per formula unit

Unit cell a=4.349 b=4.349 c=3.829 alpha=90.00 beta=90.00 gamma=90.00
Space group P4/mmm (No. 123)
Unique sites:
1 Y 0.000 0.000 0.000
2 Cr 0.000 0.500 0.500
3 Te 0.500 0.500 0.000

***

Referenced to the most stable arrangement, the calculated values in kJ/mol of atoms are w 0.0; x 11.6.

***

w | # TiCr2

A crystal of TiCr2 relaxed with PBEsol (SCAN, Alexandria).

Summary:
Magnetic moment: 0.00 μB per formula unit

Unit cell a=4.8240 b=4.8240 c=7.7095 alpha=90.00 beta=90.00 gamma=120.00
Space group P6_3/mmc (No. 194)
Unique sites:
1 Ti 0.3333 0.6667 0.0604
2 Cr 0.0000 0.0000 0.0000
3 Cr 0.1699 0.3397 0.7500

***

x | # TiCr2

A crystal of TiCr2 relaxed with PBEsol (SCAN, Alexandria).

Summary:
Magnetic moment: 0.00 μB per formula unit

Unit cell a=6.772 b=6.772 c=6.772 alpha=90.00 beta=90.00 gamma=90.00
Space group Fd-3m (No. 227, origin choice 2)
Unique sites:
1 Ti 0.125 0.125 0.125
2 Cr 0.000 0.000 0.500

***

Referenced to the most stable arrangement, the calculated values in kJ/mol of atoms are w 2.0; x 0.0.

***

w | # ZrTiCr4

A crystal of ZrTiCr4 relaxed with PBEsol (SCAN, Alexandria).

Summary:
Magnetic moment: 0.00 μB per formula unit

Unit cell a=4.9270 b=4.9270 c=7.8496 alpha=90.00 beta=90.00 gamma=120.00
Space group P-3m1 (No. 164)
Unique sites:
1 Zr 0.3333 0.6667 0.0646
2 Ti 0.3333 0.6667 0.4441
3 Cr 0.0000 0.0000 0.0000
4 Cr 0.0000 0.0000 0.5000
5 Cr 0.1690 0.3380 0.7403

***

x | # ZrTiCr4

A crystal of ZrTiCr4 relaxed with PBEsol (SCAN, Alexandria).

Summary:
Magnetic moment: 0.00 μB per formula unit

Unit cell a=6.912 b=6.912 c=6.912 alpha=90.00 beta=90.00 gamma=90.00
Space group F-43m (No. 216)
Unique sites:
1 Zr 0.000 0.000 0.000
2 Ti 0.250 0.250 0.750
3 Cr 0.125 0.125 0.375

***

Referenced to the most stable arrangement, the calculated values in kJ/mol of atoms are w 1.6; x 0.0.

***

w | # Tl2ZnCr

A crystal of Tl2ZnCr relaxed with PBEsol (SCAN, Alexandria).

Summary:
Magnetic moment: 3.62 μB per formula unit

Unit cell a=12.325 b=3.112 c=4.636 alpha=90.00 beta=111.92 gamma=90.00
Space group Cm (No. 8)
Unique sites:
1 Tl 0.000 0.000 0.000
2 Tl 0.218 0.000 0.718
3 Zn 0.406 0.000 0.406
4 Cr 0.221 0.500 0.221

***

x | # Tl2ZnCr

A crystal of Tl2ZnCr relaxed with PBEsol (SCAN, Alexandria).

Summary:
Magnetic moment: 4.01 μB per formula unit

Unit cell a=4.195 b=4.195 c=9.087 alpha=90.00 beta=90.00 gamma=90.00
Space group I-4m2 (No. 119)
Unique sites:
1 Tl 0.000 0.000 0.000
2 Tl 0.000 0.500 0.250
3 Zn 0.000 0.000 0.500
4 Cr 0.000 0.500 0.750

***

y | # Tl2ZnCr

A crystal of Tl2ZnCr relaxed with PBEsol (SCAN, Alexandria).

Summary:
Magnetic moment: 4.15 μB per formula unit

Unit cell a=4.421 b=3.543 c=10.559 alpha=90.00 beta=90.00 gamma=90.00
Space group Amm2 (No. 38)
Unique sites:
1 Tl 0.000 0.000 0.000
2 Tl 0.500 0.000 0.313
3 Zn 0.500 0.000 0.585
4 Cr 0.000 0.000 0.727

***

Referenced to the most stable arrangement, the calculated values in kJ/mol of atoms are w 0.8; x 6.5; y 0.0.

***

w | # ZrTl2Cr

A crystal of ZrTl2Cr relaxed with PBEsol (SCAN, Alexandria).

Summary:
Magnetic moment: 3.64 μB per formula unit

Unit cell a=6.881 b=6.881 c=6.881 alpha=90.00 beta=90.00 gamma=90.00
Space group Fm-3m (No. 225)
Unique sites:
1 Zr 0.000 0.000 0.000
2 Tl 0.250 0.250 0.250
3 Cr 0.000 0.000 0.500

***

x | # ZrTl2Cr

A crystal of ZrTl2Cr relaxed with PBEsol (SCAN, Alexandria).

Summary:
Magnetic moment: 3.08 μB per formula unit

Unit cell a=3.337 b=3.918 c=6.430 alpha=90.00 beta=90.00 gamma=90.00
Space group Pmm2 (No. 25)
Unique sites:
1 Zr 0.000 0.000 0.000
2 Tl 0.000 0.000 0.456
3 Tl 0.500 0.500 0.737
4 Cr 0.500 0.500 0.197

***

Referenced to the most stable arrangement, the calculated values in kJ/mol of atoms are w 0.0; x 3.1.